Below is Tl2CuPdCl6 after structural relaxation, with properties calculated at the PBE level.

Calculated values
- Final energy: -3.163 eV per atom
- Theoretical density: 5.5 g/cm³
- Crystal system: monoclinic

Lattice parameters (Å, degrees): 11.9678 6.9701 6.9956 90.00 125.52 90.00
With the nearest neighbours (Å) after each atom.
Space group C2/m (No. 12)
Inequivalent atoms, fractional coordinates:
1 Tl 0.2503 0.0000 0.2480  12 Cl 3.38-3.62
2 Cu 0.0000 0.5000 0.0000  6 Cl 2.33-2.51
3 Pd 0.0000 0.0000 0.5000  6 Cl 2.43-2.55
4 Cl 0.0069 0.2462 0.2621  1 Pd 2.43, 1 Cu 2.51
5 Cl 0.2385 0.5000 0.2236  1 Cu 2.33, 1 Pd 2.55

Below is Tl2CuPdCl6 after structural relaxation, with properties calculated at the PBE level.

Calculated values
- Final energy: -3.162 eV per atom
- Theoretical density: 5.6 g/cm³
- Crystal system: trigonal

Lattice parameters (Å, degrees): 6.9153 6.9153 16.9570 90.00 90.00 120.00
With the nearest neighbours (Å) after each atom.
Space group R-3 (No. 148, hexagonal axes)
Inequivalent atoms, fractional coordinates:
1 Tl 0.0000 0.0000 0.2500  12 Cl 3.45-3.46
2 Cu 0.0000 0.0000 0.0000  6 Cl 2.43
3 Pd 0.0000 0.0000 0.5000  6 Cl 2.46
4 Cl 0.0019 0.5019 0.7493  1 Cu 2.43, 1 Pd 2.46

Below is Tl2CuPdCl6 after structural relaxation, with properties calculated at the PBE level.

Calculated values
- Final energy: -3.162 eV per atom
- Theoretical density: 5.6 g/cm³
- Crystal system: triclinic

Lattice parameters (Å, degrees): 6.9186 6.9193 9.7969 89.99 90.00 89.99
With the nearest neighbours (Å) after each atom.
Space group P-1 (No. 2)
Inequivalent atoms, fractional coordinates:
1 Tl 0.0001 0.9997 0.2500  12 Cl 3.43-3.50
2 Tl 0.5000 0.4997 0.2498  12 Cl 3.43-3.50
3 Cu 0.0000 0.5000 0.0000  6 Cl 2.43-2.44
4 Cu 0.5000 0.0000 0.5000  6 Cl 2.43-2.44
5 Pd 0.0000 0.5000 0.5000  6 Cl 2.46
6 Pd 0.5000 0.0000 0.0000  6 Cl 2.46
7 Cl 0.0010 0.4992 0.2490  1 Cu 2.44, 1 Pd 2.46
8 Cl 0.2464 0.2487 0.9993  1 Cu 2.43, 1 Pd 2.46
9 Cl 0.2466 0.7561 0.5002  1 Cu 2.43, 1 Pd 2.46
10 Cl 0.2513 0.7466 0.9996  1 Cu 2.44, 1 Pd 2.46
11 Cl 0.2557 0.2537 0.5007  1 Cu 2.44, 1 Pd 2.46
12 Cl 0.4991 0.0002 0.2509  1 Cu 2.44, 1 Pd 2.46

Below is Tl2CuPdCl6 after structural relaxation, with properties calculated at the PBE level.

Calculated values
- Final energy: -3.162 eV per atom
- Theoretical density: 5.6 g/cm³
- Crystal system: cubic

Lattice parameters (Å, degrees): 9.7958 9.7958 9.7958 90.00 90.00 90.00
With the nearest neighbours (Å) after each atom.
Space group Fm-3m (No. 225)
Inequivalent atoms, fractional coordinates:
1 Tl 0.2500 0.2500 0.2500  12 Cl 3.46
2 Cu 0.0000 0.0000 0.0000  6 Cl 2.44
3 Pd 0.0000 0.0000 0.5000  6 Cl 2.46
4 Cl 0.0000 0.0000 0.2486  1 Cu 2.44, 1 Pd 2.46

Below is Pm3CuCl after structural relaxation, with properties calculated at the PBE level.

Calculated values
- Final energy: -4.171 eV per atom
- Theoretical density: 6.2 g/cm³
- Crystal system: cubic

Lattice parameters (Å, degrees): 5.2436 5.2436 5.2436 90.00 90.00 90.00
With the nearest neighbours (Å) after each atom.
Space group Pm-3m (No. 221)
Inequivalent atoms, fractional coordinates:
1 Pm 0.0000 0.0000 0.5000  2 Cl 2.62
2 Cu 0.5000 0.5000 0.5000  12 Pm 3.71
3 Cl 0.0000 0.0000 0.0000  6 Pm 2.62

Below is RbCuCl6 after structural relaxation, with properties calculated at the PBE level.

Calculated values
- Final energy: -2.559 eV per atom
- Theoretical density: 2.6 g/cm³
- Crystal system: triclinic

Lattice parameters (Å, degrees): 5.0518 7.1388 7.6610 63.60 71.11 72.18
With the nearest neighbours (Å) after each atom.
Space group P1 (No. 1)
Inequivalent atoms, fractional coordinates:
1 Rb 0.0000 0.0000 0.0000  7 Cl 3.19-3.54
2 Cu 0.3964 0.5375 0.4950  3 Cl 2.17-2.26
3 Cl 0.0085 0.4949 0.9983  2 Cl 2.36-2.44
4 Cl 0.0855 0.2307 0.5120  1 Cl 2.15
5 Cl 0.4523 0.3626 0.8022  1 Cu 2.19, 1 Cl 2.44
6 Cl 0.4895 0.0164 0.4968  1 Cl 2.15
7 Cl 0.5717 0.6288 0.1757  1 Cu 2.17, 1 Cl 2.36
8 Cl 0.9715 0.7620 0.4682  1 Cu 2.26

Below is Rb3Cu2Cl6 after structural relaxation, with properties calculated at the PBE level.

Calculated values
- Final energy: -3.252 eV per atom
- Theoretical density: 3.3 g/cm³
- Crystal system: tetragonal

Lattice parameters (Å, degrees): 4.7464 4.7464 26.8781 90.00 90.00 90.00
With the nearest neighbours (Å) after each atom.
Space group I4/mmm (No. 139)
Inequivalent atoms, fractional coordinates:
1 Rb 0.0000 0.0000 0.0000  8 Cl 3.32
2 Rb 0.0000 0.0000 0.1818  9 Cl 3.33-3.50
3 Cu 0.0000 0.0000 0.3962  5 Cl 2.42-2.43
4 Cl 0.0000 0.0000 0.3058  1 Cu 2.43
5 Cl 0.0000 0.5000 0.0861  2 Cu 2.42

Below is Rb2CuCl3 after structural relaxation, with properties calculated at the PBE level.

Calculated values
- Final energy: -3.305 eV per atom
- Theoretical density: 3.3 g/cm³
- Crystal system: orthorhombic

Lattice parameters (Å, degrees): 12.5908 4.2431 13.0011 90.00 90.00 90.00
With the nearest neighbours (Å) after each atom.
Space group Pnma (No. 62)
Inequivalent atoms, fractional coordinates:
1 Rb 0.0130 0.2500 0.1730  7 Cl 3.27-3.33
2 Rb 0.1725 0.2500 0.5256  7 Cl 3.31-3.41, 2 Cu 3.66
3 Cu 0.2439 0.7500 0.3072  4 Cl 2.35-2.41
4 Cl 0.0656 0.7500 0.3595  1 Cu 2.35
5 Cl 0.1397 0.2500 0.9480  1 Cu 2.35
6 Cl 0.2282 0.7500 0.7233  2 Cu 2.41